Record 1
A relaxed TmPuMgMn crystal, computed with PBE.

a b c (Å): 5.122 5.122 5.122
angles (deg): 60.00 60.00 60.00
Site moments in Bohr magnetons follow the coordinates.
Atoms (fractional coordinates):
Mg 0.000 0.000 0.000  0.00
Tm 0.750 0.750 0.750  -0.17
Mn 0.500 0.500 0.500  3.40
Pu 0.250 0.250 0.250  5.16

calculated total energy: -28.2 eV for the cell shown
density: 8.60 g/cm3
crystal system: cubic
size of the total moment: 8.70 Bohr magnetons per cell
D(E_F): 11.4 states/eV/f.u.
formation energy: 1.4 eV per formula unit


Record 2
A relaxed LiY2Au2 crystal, computed with PBE.

a b c (Å): 7.921 7.921 3.816
angles (deg): 90.00 90.00 90.00
Atoms (fractional coordinates):
Y 0.162 0.662 0.500
Y 0.662 0.838 0.500
Y 0.838 0.338 0.500
Y 0.338 0.162 0.500
Au 0.363 0.863 0.000
Au 0.863 0.637 0.000
Au 0.637 0.137 0.000
Au 0.137 0.363 0.000
Li 0.000 0.000 0.000
Li 0.500 0.500 0.000

calculated total energy: -49.7 eV for the cell shown
density: 8.03 g/cm3
crystal system: tetragonal
size of the total moment: 0.00 Bohr magnetons per cell
D(E_F): 4.3 states/eV/f.u.
formation energy: -3.4 eV per formula unit


Record 3
A relaxed CuPtAu2 crystal, computed with PBE.

a b c (Å): 9.376 9.376 9.376
angles (deg): 17.41 17.41 17.41
Atoms (fractional coordinates):
Au 0.002 0.002 0.002
Au 0.243 0.243 0.243
Cu 0.498 0.498 0.498
Pt 0.757 0.757 0.757

calculated total energy: -16.8 eV for the cell shown
density: 16.83 g/cm3
crystal system: trigonal
size of the total moment: 0.00 Bohr magnetons per cell
D(E_F): 1.6 states/eV/f.u.
formation energy: -0.1 eV per formula unit


Record 4
A relaxed ZrCu2Pt crystal, computed with PBE.

a b c (Å): 4.795 4.795 4.795
angles (deg): 131.01 130.97 71.83
Atoms (fractional coordinates):
Cu 0.000 0.000 0.000
Cu 0.500 0.500 0.000
Pt 0.750 0.250 0.500
Zr 0.250 0.750 0.500

calculated total energy: -24.6 eV for the cell shown
density: 11.17 g/cm3
crystal system: tetragonal
size of the total moment: 0.00 Bohr magnetons per cell
D(E_F): 2.6 states/eV/f.u.
formation energy: -1.9 eV per formula unit


Record 5
A relaxed KSrIn2Rh crystal, computed with PBE.

a b c (Å): 5.319 5.319 5.640
angles (deg): 90.00 90.00 90.00
Atoms (fractional coordinates):
Sr 0.000 0.000 0.500
K 0.500 0.500 0.500
Rh 0.000 0.000 0.000
In 0.000 0.500 0.000
In 0.500 0.000 0.000

calculated total energy: -16.9 eV for the cell shown
density: 4.78 g/cm3
crystal system: tetragonal
size of the total moment: 0.00 Bohr magnetons per cell
D(E_F): 3.9 states/eV/f.u.
formation energy: -1.3 eV per formula unit


Record 6
A relaxed ZrMn2NbAs crystal, computed with PBE.

a b c (Å): 4.539 5.339 4.539
angles (deg): 90.00 90.00 90.00
Site moments in Bohr magnetons follow the coordinates.
Atoms (fractional coordinates):
Nb 0.000 0.000 0.000  -0.84
Mn 0.000 0.000 0.500  2.63
Mn 0.500 0.000 0.000  2.96
As 0.500 0.500 0.500  -0.07
Zr 0.000 0.500 0.000  -0.07

calculated total energy: -36.1 eV for the cell shown
density: 5.57 g/cm3
crystal system: tetragonal
size of the total moment: 4.79 Bohr magnetons per cell
D(E_F): 5.2 states/eV/f.u.
formation energy: 5.5 eV per formula unit


Record 7
A relaxed KInPb crystal, computed with PBE.

a b c (Å): 8.568 8.568 5.224
angles (deg): 90.00 90.00 147.06
Atoms (fractional coordinates):
Pb 0.367 0.633 0.250
Pb 0.633 0.367 0.750
K 0.084 0.916 0.250
K 0.916 0.084 0.750
In 0.746 0.254 0.250
In 0.254 0.746 0.750

calculated total energy: -16.0 eV for the cell shown
density: 5.75 g/cm3
crystal system: orthorhombic
size of the total moment: 0.00 Bohr magnetons per cell
D(E_F): 0.8 states/eV/f.u.
formation energy: -0.5 eV per formula unit


Record 8
A relaxed SrSmGaAu crystal, computed with PBE.

a b c (Å): 5.314 5.314 5.314
angles (deg): 60.00 60.00 60.00
Atoms (fractional coordinates):
Sr 0.750 0.750 0.750
Au 0.500 0.500 0.500
Ga 0.000 0.000 0.000
Sm 0.250 0.250 0.250

calculated total energy: -14.9 eV for the cell shown
density: 7.90 g/cm3
crystal system: cubic
size of the total moment: 0.00 Bohr magnetons per cell
D(E_F): 5.1 states/eV/f.u.
formation energy: -2.2 eV per formula unit


Record 9
A relaxed Mn2SnTePb crystal, computed with PBE.

a b c (Å): 4.883 5.896 4.883
angles (deg): 90.00 90.00 90.00
Site moments in Bohr magnetons follow the coordinates.
Atoms (fractional coordinates):
Pb 0.500 0.500 0.500  -0.01
Te 0.000 0.500 0.000  0.02
Sn 0.000 0.000 0.000  0.01
Mn 0.000 0.000 0.500  -0.18
Mn 0.500 0.000 0.000  0.01

calculated total energy: -21.8 eV for the cell shown
density: 6.66 g/cm3
crystal system: tetragonal
uncorrected formation energy: 7.40 eV per formula unit
size of the total moment: 0.15 Bohr magnetons per cell
D(E_F): 12.3 states/eV/f.u.


Record 10
A relaxed RhPb2F7 crystal, computed with PBE.

a b c (Å): 7.140 7.582 7.456
angles (deg): 70.88 61.39 61.91
Site moments in Bohr magnetons follow the coordinates.
Atoms (fractional coordinates):
Rh 0.889 0.250 0.750  0.07
Rh 0.111 0.750 0.250  0.07
Pb 0.621 0.907 0.710  0.00
Pb 0.762 0.407 0.210  0.00
Pb 0.238 0.593 0.790  0.00
Pb 0.379 0.093 0.290  0.00
F 0.705 0.518 0.857  0.00
F 0.920 0.018 0.357  0.00
F 0.227 0.850 0.948  0.01
F 0.383 0.197 0.544  0.00
F 0.617 0.250 0.750  0.00
F 0.975 0.350 0.448  0.01
F 0.124 0.303 0.956  0.00
F 0.876 0.697 0.044  0.00
F 0.025 0.650 0.552  0.01
F 0.383 0.750 0.250  0.00
F 0.617 0.803 0.456  0.00
F 0.773 0.150 0.052  0.01
F 0.080 0.982 0.643  0.00
F 0.295 0.482 0.143  0.00

calculated total energy: -94.7 eV for the cell shown
density: 6.97 g/cm3
crystal system: monoclinic
uncorrected formation energy: -19.47 eV per formula unit
size of the total moment: 0.19 Bohr magnetons per cell


Record 11
A relaxed H2BrF crystal, computed with PBE.

a b c (Å): 6.622 11.649 4.871
angles (deg): 144.19 133.23 58.62
Atoms (fractional coordinates):
H 0.842 0.933 0.842
H 0.297 0.950 0.242
H 0.049 0.383 0.281
H 0.966 0.402 0.794
Br 0.601 0.921 0.777
Br 0.779 0.442 0.470
F 0.145 0.955 0.978
F 0.160 0.364 0.183

calculated total energy: -27.6 eV for the cell shown
density: 2.10 g/cm3
crystal system: triclinic
size of the total moment: 0.00 Bohr magnetons per cell
D(E_F): 0.0 states/eV/f.u.


Record 12
A relaxed Ho4PdPt crystal, computed with PBE.

a b c (Å): 7.806 7.806 7.806
angles (deg): 106.05 106.05 116.55
Atoms (fractional coordinates):
Ho 0.251 0.952 0.701
Ho 0.749 0.451 0.702
Ho 0.702 0.501 0.201
Ho 0.201 0.999 0.202
Ho 0.301 0.501 0.799
Ho 0.797 0.999 0.798
Ho 0.749 0.047 0.298
Ho 0.251 0.551 0.299
Pd 0.250 0.250 0.000
Pd 0.000 0.500 0.500
Pt 0.750 0.750 0.000
Pt 0.500 0.000 0.500

calculated total energy: -66.4 eV for the cell shown
density: 8.82 g/cm3
crystal system: tetragonal
size of the total moment: 0.00 Bohr magnetons per cell
D(E_F): 5.7 states/eV/f.u.
formation energy: -3.7 eV per formula unit